1.
{
  "formula": "TiSbPd2",
  "functional": "PBE",
  "state": "optimized geometry",
  "cell": [[-3.8649, -0.1804, 1.4619], [1.4319, -0.9589, 3.6673], [0.1790, 3.9330, 0.9585]],
  "species": ["Sb", "Pd", "Pd", "Ti"],
  "fractional_positions": [[0.5000, 0.5000, 0.5000], [0.0000, 0.0000, 0.5000], [0.0000, 0.5000, 0.0000], [0.5000, 0.0000, 0.0000]],
  "magmom_total_mub_per_cell": 0.00,
  "crystal_system": "tetragonal",
  "raw_formation_energy_mev_per_atom": -511,
  "e_tot_ev_per_cell": -24.449,
  "dos_at_fermi_per_ev_fu": 1.94
}

=====

2.
{
  "formula": "Zn2Cd2S",
  "functional": "PBE",
  "state": "optimized geometry",
  "cell": [[-0.2953, 4.0328, 0.3465], [-3.4667, -0.0726, -2.1090], [-5.1686, 1.2729, 4.5472]],
  "species": ["Zn", "Zn", "S", "Cd", "Cd"],
  "fractional_positions": [[0.4069, 0.4069, 0.1862], [0.5931, 0.5931, 0.8138], [0.0000, 0.0000, 0.0000], [0.7500, 0.2500, 0.5000], [0.2500, 0.7500, 0.5000]],
  "magmom_total_mub_per_cell": 0.00,
  "crystal_system": "tetragonal",
  "raw_formation_energy_mev_per_atom": 236,
  "e_tot_ev_per_cell": -7.327,
  "dos_at_fermi_per_ev_fu": 2.30
}

=====

3.
{
  "formula": "LaTb6Er12",
  "functional": "PBE",
  "state": "optimized geometry",
  "cell": [[-4.1456, -8.1662, 1.6979], [9.1627, -1.4664, -0.8066], [-1.4488, 5.6053, 7.2964]],
  "species": ["La", "Tb", "Tb", "Tb", "Tb", "Tb", "Tb", "Er", "Er", "Er", "Er", "Er", "Er", "Er", "Er", "Er", "Er", "Er", "Er"],
  "fractional_positions": [[0.0000, 0.0000, 0.0000], [0.6818, 0.2486, 0.6818], [0.6818, 0.6818, 0.2486], [0.2486, 0.6818, 0.6818], [0.3182, 0.3182, 0.7514], [0.3182, 0.7514, 0.3182], [0.7514, 0.3182, 0.3182], [0.8909, 0.1091, 0.5000], [0.3755, 0.1637, 0.3755], [0.3755, 0.3755, 0.1637], [0.8363, 0.6245, 0.6245], [0.6245, 0.6245, 0.8363], [0.6245, 0.8363, 0.6245], [0.5000, 0.8909, 0.1091], [0.1091, 0.5000, 0.8909], [0.1091, 0.8909, 0.5000], [0.5000, 0.1091, 0.8909], [0.8909, 0.5000, 0.1091], [0.1637, 0.3755, 0.3755]],
  "magmom_total_mub_per_cell": 0.00,
  "e_form_mev_per_atom": 432,
  "crystal_system": "trigonal",
  "e_tot_ev_per_cell": -79.263,
  "dos_at_fermi_per_ev_fu": 23.98
}

=====

4.
{
  "formula": "AcLa7Dy12",
  "functional": "PBE",
  "state": "optimized geometry",
  "cell": [[-7.2416, 1.0201, -6.6733], [-3.3976, -5.0447, 7.8116], [3.0718, 8.9440, 2.9296]],
  "species": ["Ac", "La", "La", "La", "La", "La", "La", "La", "Dy", "Dy", "Dy", "Dy", "Dy", "Dy", "Dy", "Dy", "Dy", "Dy", "Dy", "Dy"],
  "fractional_positions": [[0.0000, 0.0000, 0.0000], [0.5000, 0.5000, 0.0000], [0.0000, 0.5000, 0.5000], [0.5000, 0.0000, 0.5000], [0.5000, 0.5000, 0.5000], [0.0000, 0.0000, 0.5000], [0.5000, 0.0000, 0.0000], [0.0000, 0.5000, 0.0000], [0.4950, 0.7477, 0.7472], [0.0005, 0.7477, 0.2528], [0.5050, 0.2523, 0.2528], [0.9995, 0.2523, 0.7472], [0.7472, 0.9995, 0.2523], [0.7472, 0.4950, 0.7477], [0.2528, 0.0005, 0.7477], [0.2528, 0.5050, 0.2523], [0.7477, 0.7472, 0.4950], [0.2523, 0.2528, 0.5050], [0.7477, 0.2528, 0.0005], [0.2523, 0.7472, 0.9995]],
  "magmom_total_mub_per_cell": 0.00,
  "e_form_mev_per_atom": 579,
  "crystal_system": "cubic",
  "e_tot_ev_per_cell": -82.243,
  "dos_at_fermi_per_ev_fu": 31.46
}

=====

5.
{
  "formula": "RbCo3Re",
  "functional": "PBE",
  "state": "optimized geometry",
  "cell": [[4.6565, 0.0000, 0.0000], [0.0000, 4.6565, 0.0000], [0.0000, 0.0000, 4.6565]],
  "species": ["Re", "Co", "Co", "Co", "Rb"],
  "fractional_positions": [[0.0000, 0.0000, 0.0000], [0.0000, 0.5000, 0.0000], [0.0000, 0.0000, 0.5000], [0.5000, 0.0000, 0.0000], [0.5000, 0.5000, 0.5000]],
  "magmom_total_mub_per_cell": 2.61,
  "e_form_mev_per_atom": 1383,
  "crystal_system": "cubic",
  "e_tot_ev_per_cell": -27.818,
  "dos_at_fermi_per_ev_fu": 4.65
}

=====

6.
{
  "formula": "Ca2As3Pd2",
  "functional": "PBE",
  "state": "optimized geometry",
  "cell": [[-2.9965, 0.5928, -3.0959], [1.0429, -6.5916, -2.2716], [-5.1880, -3.3810, 7.4289]],
  "species": ["Ca", "Ca", "Ca", "Ca", "As", "As", "As", "As", "As", "As", "Pd", "Pd", "Pd", "Pd"],
  "fractional_positions": [[0.1509, 0.2500, 0.3018], [0.8491, 0.7500, 0.6982], [0.9429, 0.2500, 0.8857], [0.0571, 0.7500, 0.1143], [0.2243, 0.7500, 0.4486], [0.7757, 0.2500, 0.5514], [0.5675, 0.4495, 0.1350], [0.4325, 0.5505, 0.8650], [0.4325, 0.9495, 0.8650], [0.5675, 0.0505, 0.1350], [0.6987, 0.9524, 0.3974], [0.3013, 0.0476, 0.6026], [0.3013, 0.4524, 0.6026], [0.6987, 0.5476, 0.3974]],
  "magmom_total_mub_per_cell": 0.00,
  "e_form_mev_per_atom": -790,
  "crystal_system": "orthorhombic",
  "e_tot_ev_per_cell": -67.734,
  "dos_at_fermi_per_ev_fu": 3.15
}

=====

7.
{
  "formula": "Rb2TcF7",
  "functional": "PBE",
  "state": "optimized geometry",
  "cell": [[5.9393, 0.0000, 2.8964], [2.6583, 7.0806, 2.0866], [-0.3597, -0.9911, 8.2753]],
  "species": ["Rb", "Rb", "Rb", "Rb", "Tc", "Tc", "F", "F", "F", "F", "F", "F", "F", "F", "F", "F", "F", "F", "F", "F"],
  "fractional_positions": [[0.5858, 0.9220, 0.7352], [0.7570, 0.4220, 0.2352], [0.2430, 0.5780, 0.7648], [0.4142, 0.0780, 0.2648], [0.9472, 0.2500, 0.7500], [0.0528, 0.7500, 0.2500], [0.7851, 0.5201, 0.8077], [0.8871, 0.0201, 0.3077], [0.2324, 0.8064, 0.0143], [0.2655, 0.2544, 0.5986], [0.6490, 0.2500, 0.7500], [0.9470, 0.3064, 0.5143], [0.1184, 0.2456, 0.9014], [0.8816, 0.7544, 0.0986], [0.0530, 0.6936, 0.4857], [0.3510, 0.7500, 0.2500], [0.7345, 0.7456, 0.4014], [0.7676, 0.1936, 0.9857], [0.1129, 0.9799, 0.6923], [0.2149, 0.4799, 0.1923]],
  "magmom_total_mub_per_cell": 4.00,
  "crystal_system": "monoclinic",
  "raw_formation_energy_mev_per_atom": -2440,
  "e_tot_ev_per_cell": -99.598
}

=====

8.
{
  "formula": "Ca2YBeO5",
  "functional": "PBE",
  "state": "optimized geometry",
  "cell": [[-6.1291, 0.8242, 1.5753], [0.7290, -4.6895, 5.2900], [2.3833, 6.8108, 5.7092]],
  "species": ["Ca", "Ca", "Ca", "Ca", "Ca", "Ca", "Ca", "Ca", "Y", "Y", "Y", "Y", "Be", "Be", "Be", "Be", "O", "O", "O", "O", "O", "O", "O", "O", "O", "O", "O", "O", "O", "O", "O", "O", "O", "O", "O", "O"],
  "fractional_positions": [[0.5888, 0.5236, 0.8257], [0.4112, 0.4764, 0.1743], [0.0888, 0.4764, 0.6743], [0.4112, 0.0236, 0.1743], [0.9112, 0.5236, 0.3257], [0.5888, 0.9764, 0.8257], [0.9112, 0.9764, 0.3257], [0.0888, 0.0236, 0.6743], [0.0961, 0.7500, 0.9717], [0.9039, 0.2500, 0.0283], [0.5961, 0.2500, 0.5283], [0.4039, 0.7500, 0.4717], [0.8100, 0.7500, 0.6023], [0.1900, 0.2500, 0.3977], [0.3100, 0.2500, 0.8977], [0.6900, 0.7500, 0.1023], [0.8706, 0.7500, 0.7758], [0.1294, 0.2500, 0.2242], [0.3706, 0.2500, 0.7242], [0.6294, 0.7500, 0.2758], [0.3264, 0.7500, 0.7245], [0.6736, 0.2500, 0.2755], [0.8264, 0.2500, 0.7755], [0.1736, 0.7500, 0.2245], [0.6853, 0.5583, 0.5650], [0.3147, 0.4417, 0.4350], [0.1853, 0.4417, 0.9350], [0.3147, 0.0583, 0.4350], [0.8147, 0.5583, 0.0650], [0.6853, 0.9417, 0.5650], [0.8147, 0.9417, 0.0650], [0.1853, 0.0583, 0.9350], [0.0326, 0.7500, 0.5100], [0.9674, 0.2500, 0.4900], [0.5326, 0.2500, 0.9900], [0.4674, 0.7500, 0.0100]],
  "magmom_total_mub_per_cell": 4.08,
  "crystal_system": "orthorhombic",
  "raw_formation_energy_mev_per_atom": -2838,
  "e_tot_ev_per_cell": -258.107,
  "dos_at_fermi_per_ev_fu": 4.79
}